Below is crystalline MgTaAg2 at its relaxed geometry, with properties calculated at the PBE level.

Summary:
Theoretical density ... 8.78 g cm⁻³
Formation energy ... 76 kJ per mole of atoms
Total moment ... 0.000 μB/atom
Uncorrected energy ... -4.003 eV/atom

a = 4.081 Å, b = 4.081 Å, c = 19.112 Å
α = 90.00°, β = 90.00°, γ = 90.00°
Space group I-42d (No. 122)
Unique sites:
Mg  0.000  0.000  0.000 [4 per cell]
Ta  0.000  0.000  0.500 [4 per cell]
Ag  0.245  0.250  0.125 [8 per cell]